Entry 1:
VASP calculation (PBE) on an optimized crystal structure of Li4In3Hg4. Values from VASP.

The structure in Quantum ESPRESSO input format:
```
&SYSTEM
  ibrav = 0, nat = 11, ntyp = 3
/
ATOMIC_SPECIES
Li 6.94 Li.upf
In 114.82 In.upf
Hg 200.59 Hg.upf
ATOMIC_POSITIONS angstrom
Li 2.252 -2.044 4.890
Li 0.000 1.563 2.644
Li 2.252 2.044 4.890
Li 0.000 5.651 2.644
In 2.252 0.000 0.000
In 0.000 0.000 5.486
In 0.000 0.000 9.584
Hg 2.252 0.000 3.069
Hg 0.000 2.127 0.000
Hg 0.000 5.086 0.000
Hg 0.000 3.607 4.465
CELL_PARAMETERS angstrom
-2.252 3.607 7.535
2.252 -3.607 7.535
2.252 3.607 -7.535
```

Results
Space group   No. 71
V   22.3 Å³/atom
Polymorph energy (0 for the lowest one)   0.089 eV per atom
Size of the total moment   0.00 Bohr magnetons per cell
E   -18.96 eV/cell

Entry 2:
VASP calculation (PBE) on an optimized crystal structure of Sc2CdAg2. Values from VASP.

The structure in Quantum ESPRESSO input format:
```
&SYSTEM
  ibrav = 0, nat = 10, ntyp = 3
/
ATOMIC_SPECIES
Sc 44.96 Sc.upf
Cd 112.41 Cd.upf
Ag 107.87 Ag.upf
ATOMIC_POSITIONS angstrom
Sc 1.393 0.000 0.762
Sc 0.015 2.416 4.251
Sc 5.553 2.416 0.762
Sc 4.175 0.000 4.251
Cd -1.376 0.000 2.506
Cd 2.784 2.416 2.506
Ag 0.013 2.416 1.382
Ag 1.395 0.000 3.631
Ag 4.173 0.000 1.382
Ag 5.554 2.416 3.631
CELL_PARAMETERS angstrom
8.320 0.000 0.000
0.000 4.831 0.000
-2.752 0.000 5.013
```

Results
Space group   No. 12
V   20.1 Å³/atom
Size of the total moment   0.00 Bohr magnetons per cell
E   -40.53 eV/cell